(1)
## ScCrFe3 (PBE-GGA)

Data for ScCrFe3 after structural relaxation.

Geometry as extended XYZ:
```
5
Lattice="-0.994 2.552 3.188 -2.356 -3.038 1.697 3.335 -1.386 2.149" Properties=species:S:1:pos:R:3 pbc="T T T"
Cr -0.007 -0.937 3.517
Sc 0.000 0.000 0.000
Fe -1.178 -1.519 0.849
Fe -0.497 1.276 1.594
Fe 1.668 -0.693 1.074
```

Computed properties:
Its space group is No. 221. Its total magnetization is 0.0 Bohr magnetons per cell.

=====

(2)
## ScCrFe2 (PBE-GGA)

Data for ScCrFe2 after structural relaxation.

Geometry as extended XYZ:
```
4
Lattice="4.791 0.009 0.006 -1.939 4.381 0.006 0.442 0.681 2.529" Properties=species:S:1:pos:R:3 pbc="T T T"
Cr -0.748 2.531 1.267
Sc 2.616 0.345 1.267
Fe 1.426 2.195 0.006
Fe 0.000 0.000 0.000
```

Computed properties:
Its space group is No. 12. Its total magnetization is 2.2 Bohr magnetons per cell.

=====

(3)
## ScCrFe2 (PBE-GGA)

Data for ScCrFe2 after structural relaxation.

Geometry as extended XYZ:
```
4
Lattice="-3.078 -3.076 2.273 -0.337 -4.454 -2.037 3.116 3.194 2.047" Properties=species:S:1:pos:R:3 pbc="T T T"
Fe -1.648 -3.634 0.114
Sc -0.835 -1.823 2.219
Cr 0.536 -2.513 0.064
Fe -0.059 -0.131 0.004
```

Computed properties:
Its space group is No. 71. Its total magnetization is 2.3 Bohr magnetons per cell.

=====

Asked for total DFT energy (no corrections) across the records above, the calculation gives -6.29; -7.97; -8.02 eV per atom in order.
Asked for energy of formation across the records above, the calculation gives 1.974; 0.246; 0.199 eV per atom in order.
Asked for energy relative to the lowest polymorph listed for this composition across the records above, the calculation gives 1336; 194; 147 meV per atom in order.